Record 1
# PBE Ac2PrSiN4, relaxed
data_Ac2PrSiN4
_chemical_formula_sum 'Ac8 Pr4 Si4 N16'
_cell_length_a 3.644
_cell_length_b 12.061
_cell_length_c 12.820
_cell_angle_alpha 90.00
_cell_angle_beta 90.00
_cell_angle_gamma 90.00
_space_group_name_H-M_alt 'C m c m'
_space_group_IT_number 63
_space_group_name_Hall '-C 2c 2'
loop_
_atom_site_label
_atom_site_type_symbol
_atom_site_fract_x
_atom_site_fract_y
_atom_site_fract_z
Ac1 Ac 0.000 0.135 0.047
Pr1 Pr 0.000 0.403 0.250
Si1 Si 0.000 0.312 0.750
N1 N 0.000 0.105 0.250
N2 N 0.000 0.219 0.644
N3 N 0.000 0.500 0.000
# **Size of the total moment**: 0.00 μB per cell
# **Energy relative to the elements, uncorrected**: -0.91 eV/atom

=====

Record 2
# PBE Sc3Zn9Ag2, relaxed
data_Sc3Zn9Ag2
_chemical_formula_sum 'Sc6 Zn18 Ag4'
_cell_length_a 4.274
_cell_length_b 9.695
_cell_length_c 11.596
_cell_angle_alpha 90.00
_cell_angle_beta 90.00
_cell_angle_gamma 90.00
_space_group_name_H-M_alt 'I m m m'
_space_group_IT_number 71
_space_group_name_Hall '-I 2 2'
loop_
_atom_site_label
_atom_site_type_symbol
_atom_site_fract_x
_atom_site_fract_y
_atom_site_fract_z
Sc1 Sc 0.000 0.000 0.000
Sc2 Sc 0.000 0.000 0.285
Zn1 Zn 0.000 0.272 0.148
Zn2 Zn 0.000 0.374 0.357
Zn3 Zn 0.000 0.500 0.000
Ag1 Ag 0.000 0.163 0.500
# **Size of the total moment**: 0.00 μB per cell
# **Calculated formation energy**: -234 meV/atom

=====

Record 3
# PBE ZrTcBiB2, relaxed
data_ZrTcBiB2
_chemical_formula_sum 'Zr1 Tc1 Bi1 B2'
_cell_length_a 4.225
_cell_length_b 4.225
_cell_length_c 5.222
_cell_angle_alpha 90.00
_cell_angle_beta 90.00
_cell_angle_gamma 90.00
_space_group_name_H-M_alt 'P 4/m m m'
_space_group_IT_number 123
_space_group_name_Hall '-P 4 2'
loop_
_atom_site_label
_atom_site_type_symbol
_atom_site_fract_x
_atom_site_fract_y
_atom_site_fract_z
Zr1 Zr 0.000 0.000 0.000
Tc1 Tc 0.000 0.000 0.500
Bi1 Bi 0.500 0.500 0.000
B1 B 0.000 0.500 0.500
# **Size of the total moment**: 0.00 μB per cell
# **Calculated formation energy**: 761 meV/atom

=====

Record 4
# PBE Cr2IrSe, relaxed
data_Cr2IrSe
_chemical_formula_sum 'Cr8 Ir4 Se4'
_cell_length_a 6.086
_cell_length_b 6.086
_cell_length_c 6.086
_cell_angle_alpha 90.00
_cell_angle_beta 90.00
_cell_angle_gamma 90.00
_space_group_name_H-M_alt 'F -4 3 m'
_space_group_IT_number 216
_space_group_name_Hall 'F -4 2 3'
loop_
_atom_site_label
_atom_site_type_symbol
_atom_site_fract_x
_atom_site_fract_y
_atom_site_fract_z
Cr1 Cr 0.000 0.000 0.000
Cr2 Cr 0.250 0.250 0.250
Ir1 Ir 0.250 0.250 0.750
Se1 Se 0.000 0.000 0.500
# **Size of the total moment**: 8.71 μB per cell
# **Energy relative to the elements, uncorrected**: 0.36 eV/atom

=====

Record 5
# PBE Y3ThS4, relaxed
data_Y3ThS4
_chemical_formula_sum 'Y6 Th2 S8'
_cell_length_a 7.952
_cell_length_b 11.187
_cell_length_c 3.925
_cell_angle_alpha 90.00
_cell_angle_beta 90.00
_cell_angle_gamma 90.00
_space_group_name_H-M_alt 'C m m m'
_space_group_IT_number 65
_space_group_name_Hall '-C 2 2'
loop_
_atom_site_label
_atom_site_type_symbol
_atom_site_fract_x
_atom_site_fract_y
_atom_site_fract_z
Y1 Y 0.000 0.000 0.000
Y2 Y 0.250 0.250 0.500
Th1 Th 0.000 0.500 0.000
S1 S 0.000 0.246 0.000
S2 S 0.241 0.000 0.500
# **Size of the total moment**: 0.00 μB per cell
# **Energy relative to the elements, uncorrected**: -1.94 eV/atom

=====

Record 6
# PBE SrNb2V, relaxed
data_SrNb2V
_chemical_formula_sum 'Sr4 Nb8 V4'
_cell_length_a 6.851
_cell_length_b 6.851
_cell_length_c 6.851
_cell_angle_alpha 90.00
_cell_angle_beta 90.00
_cell_angle_gamma 90.00
_space_group_name_H-M_alt 'F m -3 m'
_space_group_IT_number 225
_space_group_name_Hall '-F 4 2 3'
loop_
_atom_site_label
_atom_site_type_symbol
_atom_site_fract_x
_atom_site_fract_y
_atom_site_fract_z
Sr1 Sr 0.000 0.000 0.000
Nb1 Nb 0.250 0.250 0.250
V1 V 0.000 0.000 0.500
# **Energy above the lowest structure with this stoichiometry**: 0.0000 eV per atom
# **Size of the total moment**: 3.32 μB per cell
# **Calculated formation energy**: 1019 meV/atom